Below is an optimized crystal structure of Cu3Tc5O12, with properties calculated at the PBE-GGA level.

Properties
The formation energy from raw total energies comes out at -0.796 eV per atom. The calculation puts the total magnetization at 0.112 μB per formula unit. The density of states at the Fermi level is 0.49 states/eV per atom.

a = 12.4711 Å, b = 12.4711 Å, c = 12.4711 Å
α = 90.00°, β = 90.00°, γ = 90.00°
Last column: nearest neighbours and their distance in Å.
Space group Ia-3d (No. 230)
Inequivalent atoms, fractional coordinates:
1 Cu 0.0000 0.2500 0.1250 (multiplicity 24)  8 O 2.42-2.46
2 Tc 0.0000 0.0000 0.0000 (multiplicity 16)  6 O 2.02
3 Tc 0.0000 0.2500 0.3750 (multiplicity 24)  4 O 1.88
4 O 0.0326 0.0600 0.6473 (multiplicity 96)  2 Tc 1.88-2.02

Below is an optimized crystal structure of CuTcO4, with properties calculated at the PBE-GGA level.

Properties
The formation energy from raw total energies comes out at -1.144 eV per atom. The calculation puts the total magnetization at 0.000 μB per formula unit.

a = 5.8815 Å, b = 8.4684 Å, c = 6.7471 Å
α = 90.00°, β = 90.00°, γ = 90.00°
Last column: nearest neighbours and their distance in Å.
Space group Cmcm (No. 63)
Inequivalent atoms, fractional coordinates:
1 Cu 0.0000 0.0000 0.0000 (multiplicity 4)  2 O 1.94
2 Tc 0.0000 0.3497 0.2500 (multiplicity 4)  4 O 1.76-1.77
3 O 0.0000 0.2267 0.0394 (multiplicity 8)  1 Tc 1.76, 1 Cu 1.94
4 O 0.2489 0.4676 0.2500 (multiplicity 8)  1 Tc 1.77

Below is an optimized crystal structure of CuTcO, with properties calculated at the PBE-GGA level.

Properties
The formation energy from raw total energies comes out at -0.552 eV per atom. As for the energy above the most stable polymorph in this dataset: 0.000 eV per atom. The calculation puts the total magnetization at 0.000 μB per formula unit. The density of states at the Fermi level is 0.50 states/eV per atom.

a = 2.7395 Å, b = 2.7395 Å, c = 16.4948 Å
α = 90.00°, β = 90.00°, γ = 120.00°
Last column: nearest neighbours and their distance in Å.
Space group R3m (No. 160, hexagonal axes)
Inequivalent atoms, fractional coordinates:
1 Cu 0.0000 0.0000 0.0000 (multiplicity 3)  1 O 2.02
2 Tc 0.0000 0.0000 0.5341 (multiplicity 3)  3 O 2.04
3 O 0.0000 0.0000 0.1224 (multiplicity 3)  1 Cu 2.02, 3 Tc 2.04

Below is an optimized crystal structure of CuTcO, with properties calculated at the PBE-GGA level.

Properties
The formation energy from raw total energies comes out at -0.404 eV per atom. As for the energy above the most stable polymorph in this dataset: 0.148 eV per atom. The calculation puts the total magnetization at 0.000 μB per formula unit. The density of states at the Fermi level is 0.58 states/eV per atom.

a = 2.7115 Å, b = 4.5509 Å, c = 5.7542 Å
α = 89.31°, β = 89.86°, γ = 89.91°
Last column: nearest neighbours and their distance in Å.
Space group P1 (No. 1)
Inequivalent atoms, fractional coordinates:
1 Cu 0.0000 0.0000 0.0000 (multiplicity 1)  1 O 2.05
2 Cu 0.4983 0.4844 0.1225 (multiplicity 1)  1 O 1.95
3 Tc 0.4952 0.9626 0.3906 (multiplicity 1)  2 O 2.05
4 Tc 0.9931 0.4904 0.5327 (multiplicity 1)  3 O 2.00-2.07
5 O 0.4922 0.5313 0.7848 (multiplicity 1)  1 Cu 1.95, 2 Tc 2.00
6 O 0.9942 0.0580 0.6467 (multiplicity 1)  1 Cu 2.05, 3 Tc 2.05-2.07

Below is an optimized crystal structure of CuTcO, with properties calculated at the PBE-GGA level.

Properties
The formation energy from raw total energies comes out at -0.417 eV per atom. As for the energy above the most stable polymorph in this dataset: 0.134 eV per atom. The calculation puts the total magnetization at 0.000 μB per formula unit. The density of states at the Fermi level is 0.56 states/eV per atom.

a = 10.1805 Å, b = 2.7279 Å, c = 5.1914 Å
α = 90.00°, β = 91.30°, γ = 90.00°
Last column: nearest neighbours and their distance in Å.
Space group Cm (No. 8)
Inequivalent atoms, fractional coordinates:
1 Cu 0.0000 0.0000 0.0000 (multiplicity 2)  1 O 2.03
2 Cu 0.0922 0.5000 0.3638 (multiplicity 2)  1 O 1.93
3 Tc 0.2948 0.5000 0.6714 (multiplicity 2)  4 O 2.05
4 Tc 0.2984 0.0000 0.2219 (multiplicity 2)  2 O 2.04-2.11
5 O 0.1874 0.0000 0.8740 (multiplicity 2)  1 Cu 2.03, 3 Tc 2.05-2.11
6 O 0.4252 0.0000 0.5322 (multiplicity 2)  1 Cu 1.93, 3 Tc 2.04-2.05

Below is an optimized crystal structure of CuTcO6, with properties calculated at the PBE-GGA level.

Properties
The formation energy from raw total energies comes out at -0.308 eV per atom. The calculation puts the total magnetization at 2.842 μB per formula unit. The density of states at the Fermi level is 1.06 states/eV per atom.

a = 7.6154 Å, b = 7.6154 Å, c = 7.6154 Å
α = 90.00°, β = 90.00°, γ = 90.00°
Last column: nearest neighbours and their distance in Å.
Space group Fm-3m (No. 225)
Inequivalent atoms, fractional coordinates:
1 Cu 0.0000 0.0000 0.0000 (multiplicity 4)  6 O 1.94
2 Tc 0.0000 0.0000 0.5000 (multiplicity 4)  6 O 1.86
3 O 0.0000 0.0000 0.2551 (multiplicity 24)  1 Tc 1.86, 1 Cu 1.94

Below is an optimized crystal structure of CuTcO, with properties calculated at the PBE-GGA level.

Properties
The formation energy from raw total energies comes out at 0.353 eV per atom. As for the energy above the most stable polymorph in this dataset: 0.905 eV per atom. The calculation puts the total magnetization at 0.000 μB per formula unit. The density of states at the Fermi level is 0.81 states/eV per atom.

a = 2.8731 Å, b = 2.8804 Å, c = 9.1527 Å
α = 95.95°, β = 98.82°, γ = 100.18°
Last column: nearest neighbours and their distance in Å.
Space group P-1 (No. 2)
Inequivalent atoms, fractional coordinates:
1 Cu 0.1105 0.0854 0.1949 (multiplicity 2)  2 O 2.10
2 Tc 0.3174 0.2750 0.5938 (multiplicity 2)  3 Tc 2.50-2.67, 3 Cu 2.65-2.75
3 O 0.3165 0.3166 0.0002 (multiplicity 2)  1 O 1.36

Below is an optimized crystal structure of CuTcO4, with properties calculated at the PBE-GGA level.

Properties
The formation energy from raw total energies comes out at -1.045 eV per atom. The calculation puts the total magnetization at 0.000 μB per formula unit. The density of states at the Fermi level is 0.27 states/eV per atom.

a = 12.5917 Å, b = 3.8016 Å, c = 6.8929 Å
α = 90.00°, β = 102.79°, γ = 90.00°
Last column: nearest neighbours and their distance in Å.
Space group C2/m (No. 12)
Inequivalent atoms, fractional coordinates:
1 Cu 0.1028 0.0000 0.1766 (multiplicity 4)  2 O 1.89-1.93
2 Tc 0.1645 0.0000 0.7147 (multiplicity 4)  5 O 1.77-1.90
3 O 0.0737 0.0000 0.8897 (multiplicity 4)  1 Tc 1.84, 1 Cu 1.93
4 O 0.1121 0.0000 0.4545 (multiplicity 4)  1 Tc 1.77, 1 Cu 1.89
5 O 0.1680 0.5000 0.7225 (multiplicity 4)  2 Tc 1.90
6 O 0.1888 0.5000 0.1990 (multiplicity 4)  1 Tc 1.81

Below is an optimized crystal structure of CuTc2O2, with properties calculated at the PBE-GGA level.

Properties
The formation energy from raw total energies comes out at -0.288 eV per atom. As for the energy above the most stable polymorph in this dataset: 0.000 eV per atom. The calculation puts the total magnetization at 0.000 μB per formula unit. The density of states at the Fermi level is 0.92 states/eV per atom.

a = 3.3385 Å, b = 3.3385 Å, c = 10.2161 Å
α = 90.00°, β = 90.00°, γ = 90.00°
Last column: nearest neighbours and their distance in Å.
Space group I4/mmm (No. 139)
Inequivalent atoms, fractional coordinates:
1 Cu 0.0000 0.0000 0.0000 (multiplicity 2)  8 Tc 2.68
2 Tc 0.0000 0.0000 0.3752 (multiplicity 4)  4 O 2.10
3 O 0.0000 0.5000 0.2500 (multiplicity 4)  4 Tc 2.10

Below is an optimized crystal structure of Cu2Tc2O7, with properties calculated at the PBE-GGA level.

Properties
The formation energy from raw total energies comes out at -0.858 eV per atom. The calculation puts the total magnetization at 0.270 μB per formula unit. The density of states at the Fermi level is 0.82 states/eV per atom.

a = 5.7948 Å, b = 8.9481 Å, c = 5.5648 Å
α = 90.00°, β = 100.39°, γ = 90.00°
Last column: nearest neighbours and their distance in Å.
Space group C2/m (No. 12)
Inequivalent atoms, fractional coordinates:
1 Cu 0.2340 0.0000 0.1045 (multiplicity 4)  1 O 1.74
2 Tc 0.0000 0.1776 0.5000 (multiplicity 4)  6 O 1.91-2.04
3 O 0.0000 0.5000 0.0000 (multiplicity 2)  2 Cu 1.74
4 O 0.0569 0.0000 0.7324 (multiplicity 4)  2 Tc 2.04, 2 Cu 2.05-2.14
5 O 0.2245 0.3121 0.6760 (multiplicity 8)  2 Tc 1.91-2.02, 1 Cu 2.07

Below is an optimized crystal structure of CuTc2O, with properties calculated at the PBE-GGA level.

Properties
The formation energy from raw total energies comes out at 0.513 eV per atom. The calculation puts the total magnetization at 0.000 μB per formula unit. The density of states at the Fermi level is 1.23 states/eV per atom.

a = 4.0426 Å, b = 4.0426 Å, c = 14.2251 Å
α = 90.00°, β = 90.00°, γ = 90.00°
Last column: nearest neighbours and their distance in Å.
Space group I-42d (No. 122)
Inequivalent atoms, fractional coordinates:
1 Cu 0.0000 0.0000 0.0000 (multiplicity 4)  4 Tc 2.47
2 Tc 0.1566 0.2500 0.6250 (multiplicity 8)  2 O 2.14, 2 Tc 2.39
3 O 0.0000 0.0000 0.5000 (multiplicity 4)  4 Tc 2.14

Below is an optimized crystal structure of CuTcTeO6, with properties calculated at the PBE-GGA level.

Properties
The formation energy from raw total energies comes out at -0.935 eV per atom. The calculation puts the total magnetization at 0.000 μB per formula unit. The density of states at the Fermi level is 0.29 states/eV per atom.

a = 5.2551 Å, b = 5.2551 Å, c = 8.9821 Å
α = 90.00°, β = 90.00°, γ = 120.00°
Last column: nearest neighbours and their distance in Å.
Space group P-31c (No. 163)
Inequivalent atoms, fractional coordinates:
1 Cu 0.0000 0.0000 0.0000 (multiplicity 2)  6 O 2.21
2 Tc 0.3333 0.6667 0.2500 (multiplicity 2)  6 O 1.96
3 Te 0.3333 0.6667 0.7500 (multiplicity 2)  6 O 2.05
4 O 0.0138 0.3614 0.1313 (multiplicity 12)  1 Tc 1.96, 1 Te 2.05